Entry 1:
Material: Ce2NdRh2
Method: DFT, GGA-PBE
State: optimized geometry

Lattice parameters (Å, degrees): 4.481 4.481 5.973 90.00 90.00 106.58
Element x y z (fractional)
Ce (0.195, 0.805, 0.000)
Ce (0.805, 0.195, 0.000)
Nd (0.000, 0.000, 0.500)
Rh (0.500, 0.500, 0.254)
Rh (0.500, 0.500, 0.746)

N(E_F): 7.151 states/eV per cell
total energy: -0.481 Ry/atom
formation enthalpy at 0 K: -0.279 eV/atom

Entry 2:
Material: Ce4NdRh4
Method: DFT, GGA-PBE
State: optimized geometry

Lattice parameters (Å, degrees): 8.949 8.949 5.675 90.00 90.00 90.00
Element x y z (fractional)
Ce (0.061, 0.657, 0.190)
Ce (0.157, 0.939, 0.690)
Ce (0.343, 0.561, 0.690)
Ce (0.439, 0.843, 0.190)
Ce (0.561, 0.157, 0.810)
Ce (0.657, 0.439, 0.310)
Ce (0.843, 0.061, 0.310)
Ce (0.939, 0.343, 0.810)
Nd (0.250, 0.250, 0.250)
Nd (0.750, 0.750, 0.750)
Rh (0.047, 0.625, 0.683)
Rh (0.125, 0.953, 0.183)
Rh (0.375, 0.547, 0.183)
Rh (0.453, 0.875, 0.683)
Rh (0.547, 0.125, 0.317)
Rh (0.625, 0.453, 0.817)
Rh (0.875, 0.047, 0.817)
Rh (0.953, 0.375, 0.317)

N(E_F): 35.837 states/eV per cell
total energy: -0.518 Ry/atom
formation enthalpy at 0 K: -0.608 eV/atom

Entry 3:
Material: CeNd3Rh
Method: DFT, GGA-PBE
State: optimized geometry

Lattice parameters (Å, degrees): 10.222 5.992 10.848 90.00 118.80 90.00
Element x y z (fractional)
Ce (0.144, 0.002, 0.118)
Ce (0.144, 0.498, 0.618)
Ce (0.856, 0.502, 0.382)
Ce (0.856, 0.998, 0.882)
Nd (0.124, 0.531, 0.277)
Nd (0.124, 0.969, 0.777)
Nd (0.248, 0.032, 0.494)
Nd (0.248, 0.468, 0.994)
Nd (0.491, 0.130, 0.854)
Nd (0.491, 0.370, 0.354)
Nd (0.509, 0.630, 0.646)
Nd (0.509, 0.870, 0.146)
Nd (0.752, 0.532, 0.006)
Nd (0.752, 0.968, 0.506)
Nd (0.876, 0.031, 0.223)
Nd (0.876, 0.469, 0.723)
Rh (0.409, 0.638, 0.853)
Rh (0.409, 0.862, 0.353)
Rh (0.591, 0.138, 0.647)
Rh (0.591, 0.362, 0.147)

N(E_F): 31.182 states/eV per cell
total energy: -0.422 Ry/atom
formation enthalpy at 0 K: -0.228 eV/atom

Entry 4:
Material: CeNd4Rh2
Method: DFT, GGA-PBE
State: optimized geometry

Lattice parameters (Å, degrees): 7.918 6.512 7.920 90.00 108.94 90.00
Element x y z (fractional)
Ce (0.131, 0.250, 0.369)
Ce (0.869, 0.750, 0.631)
Nd (0.064, 0.750, 0.078)
Nd (0.308, 0.000, 0.808)
Nd (0.308, 0.500, 0.808)
Nd (0.422, 0.750, 0.434)
Nd (0.578, 0.250, 0.566)
Nd (0.692, 0.000, 0.192)
Nd (0.692, 0.500, 0.192)
Nd (0.936, 0.250, 0.922)
Rh (0.059, 0.750, 0.441)
Rh (0.322, 0.250, 0.179)
Rh (0.678, 0.750, 0.821)
Rh (0.941, 0.250, 0.559)

N(E_F): 19.327 states/eV per cell
total energy: -0.440 Ry/atom
formation enthalpy at 0 K: -0.311 eV/atom

Entry 5:
Material: Ce2NdRh3
Method: DFT, GGA-PBE
State: optimized geometry

Lattice parameters (Å, degrees): 7.023 7.023 7.972 106.44 106.44 48.49
Element x y z (fractional)
Ce (0.162, 0.168, 0.083)
Ce (0.168, 0.162, 0.583)
Ce (0.832, 0.838, 0.417)
Ce (0.838, 0.832, 0.917)
Nd (0.494, 0.506, 0.750)
Nd (0.506, 0.494, 0.250)
Rh (0.006, 0.994, 0.250)
Rh (0.317, 0.323, 0.410)
Rh (0.323, 0.317, 0.910)
Rh (0.677, 0.683, 0.090)
Rh (0.683, 0.677, 0.590)
Rh (0.994, 0.006, 0.750)

N(E_F): 11.049 states/eV per cell
total energy: -0.522 Ry/atom
formation enthalpy at 0 K: -0.652 eV/atom

Entry 6:
Material: CeNd3Rh
Method: DFT, GGA-PBE
State: optimized geometry

Lattice parameters (Å, degrees): 5.588 5.588 5.588 90.00 90.00 90.00
Element x y z (fractional)
Ce (0.000, 0.000, 0.000)
Nd (0.000, 0.500, 0.500)
Nd (0.500, 0.000, 0.500)
Nd (0.500, 0.500, 0.000)
Rh (0.500, 0.500, 0.500)

N(E_F): 11.550 states/eV per cell
total energy: -0.410 Ry/atom
formation enthalpy at 0 K: -0.058 eV/atom

Entry 7:
Material: Ce2Nd3Rh4
Method: DFT, GGA-PBE
State: optimized geometry

Lattice parameters (Å, degrees): 8.870 8.870 5.971 91.24 91.24 69.68
Element x y z (fractional)
Ce (0.091, 0.313, 0.153)
Ce (0.313, 0.091, 0.653)
Ce (0.687, 0.909, 0.347)
Ce (0.909, 0.687, 0.847)
Nd (0.113, 0.887, 0.250)
Nd (0.289, 0.521, 0.530)
Nd (0.479, 0.711, 0.970)
Nd (0.521, 0.289, 0.030)
Nd (0.711, 0.479, 0.470)
Nd (0.887, 0.113, 0.750)
Rh (0.062, 0.349, 0.658)
Rh (0.213, 0.564, 0.019)
Rh (0.349, 0.062, 0.158)
Rh (0.436, 0.787, 0.481)
Rh (0.564, 0.213, 0.519)
Rh (0.651, 0.938, 0.842)
Rh (0.787, 0.436, 0.981)
Rh (0.938, 0.651, 0.342)

N(E_F): 21.472 states/eV per cell
total energy: -0.501 Ry/atom
formation enthalpy at 0 K: -0.641 eV/atom

Entry 8:
Material: CeNd2Rh2
Method: DFT, GGA-PBE
State: optimized geometry

Lattice parameters (Å, degrees): 6.467 6.467 7.390 99.56 99.56 57.42
Element x y z (fractional)
Ce (0.081, 0.919, 0.750)
Ce (0.919, 0.081, 0.250)
Nd (0.237, 0.453, 0.351)
Nd (0.453, 0.237, 0.851)
Nd (0.547, 0.763, 0.149)
Nd (0.763, 0.547, 0.649)
Rh (0.039, 0.269, 0.024)
Rh (0.269, 0.039, 0.524)
Rh (0.731, 0.961, 0.476)
Rh (0.961, 0.731, 0.976)

N(E_F): 12.923 states/eV per cell
total energy: -0.490 Ry/atom
formation enthalpy at 0 K: -0.628 eV/atom

Entry 9:
Material: CeNd5Rh6
Method: DFT, GGA-PBE
State: optimized geometry

Lattice parameters (Å, degrees): 8.634 8.634 4.992 106.72 106.72 48.54
Element x y z (fractional)
Ce (0.000, 0.000, 0.000)
Nd (0.172, 0.172, 0.673)
Nd (0.335, 0.335, 0.335)
Nd (0.500, 0.500, 0.000)
Nd (0.665, 0.665, 0.665)
Nd (0.828, 0.828, 0.327)
Rh (0.080, 0.611, 0.845)
Rh (0.232, 0.768, 0.500)
Rh (0.389, 0.920, 0.155)
Rh (0.611, 0.080, 0.845)
Rh (0.768, 0.232, 0.500)
Rh (0.920, 0.389, 0.155)

N(E_F): 8.067 states/eV per cell
total energy: -0.501 Ry/atom
formation enthalpy at 0 K: -0.657 eV/atom

Entry 10:
Material: CeNdRh4
Method: DFT, GGA-PBE
State: optimized geometry

Lattice parameters (Å, degrees): 5.388 5.388 5.388 60.00 60.00 60.00
Element x y z (fractional)
Ce (0.000, 0.000, 0.000)
Nd (0.250, 0.250, 0.250)
Rh (0.125, 0.625, 0.625)
Rh (0.625, 0.125, 0.625)
Rh (0.625, 0.625, 0.125)
Rh (0.625, 0.625, 0.625)

N(E_F): 6.495 states/eV per cell
total energy: -0.541 Ry/atom
formation enthalpy at 0 K: -0.676 eV/atom

Entry 11:
Material: Ce3NdRh2
Method: DFT, GGA-PBE
State: optimized geometry

Lattice parameters (Å, degrees): 8.495 8.495 8.441 116.64 116.64 31.44
Element x y z (fractional)
Ce (0.069, 0.069, 0.433)
Ce (0.291, 0.291, 0.634)
Ce (0.376, 0.376, 0.307)
Ce (0.624, 0.624, 0.693)
Ce (0.709, 0.709, 0.366)
Ce (0.931, 0.931, 0.567)
Nd (0.110, 0.110, 0.027)
Nd (0.890, 0.890, 0.973)
Rh (0.238, 0.238, 0.881)
Rh (0.476, 0.476, 0.805)
Rh (0.524, 0.524, 0.195)
Rh (0.762, 0.762, 0.119)

N(E_F): 21.101 states/eV per cell
total energy: -0.491 Ry/atom
formation enthalpy at 0 K: -0.472 eV/atom

Entry 12:
Material: CeNdRuRh
Method: DFT, GGA-PBE
State: optimized geometry

Lattice parameters (Å, degrees): 4.949 4.949 4.949 60.00 60.00 60.00
Element x y z (fractional)
Ce (0.000, 0.000, 0.000)
Nd (0.500, 0.500, 0.500)
Ru (0.250, 0.250, 0.250)
Rh (0.750, 0.750, 0.750)

N(E_F): 3.846 states/eV per cell
total energy: -0.533 Ry/atom
formation enthalpy at 0 K: -0.416 eV/atom

Entry 13:
Material: CeNd2Sb3Rh4
Method: DFT, GGA-PBE
State: optimized geometry

Lattice parameters (Å, degrees): 4.454 4.454 11.354 90.00 90.00 90.00
Element x y z (fractional)
Ce (0.000, 0.000, 0.000)
Nd (0.000, 0.500, 0.716)
Nd (0.500, 0.000, 0.284)
Sb (0.000, 0.500, 0.369)
Sb (0.500, 0.000, 0.631)
Sb (0.500, 0.500, 0.000)
Rh (0.000, 0.000, 0.500)
Rh (0.000, 0.500, 0.141)
Rh (0.500, 0.000, 0.859)
Rh (0.500, 0.500, 0.500)

N(E_F): 11.180 states/eV per cell
total energy: -0.483 Ry/atom
formation energy (no corrections): -0.85 eV per atom

Entry 14:
Material: Ce2Nd2Si4Rh
Method: DFT, GGA-PBE
State: optimized geometry

Lattice parameters (Å, degrees): 6.472 6.472 6.472 113.16 113.16 102.32
Element x y z (fractional)
Ce (0.169, 0.169, 0.000)
Ce (0.831, 0.831, 0.000)
Nd (0.250, 0.750, 0.500)
Nd (0.750, 0.250, 0.500)
Si (0.261, 0.261, 0.521)
Si (0.261, 0.739, 0.000)
Si (0.739, 0.261, 0.000)
Si (0.739, 0.739, 0.479)
Rh (0.500, 0.500, 0.000)

N(E_F): 7.792 states/eV per cell
total energy: -0.445 Ry/atom
formation energy (no corrections): -0.45 eV per atom

Entry 15:
Material: CeNd2SmRh2
Method: DFT, GGA-PBE
State: optimized geometry

Lattice parameters (Å, degrees): 8.427 8.427 8.427 130.92 71.22 131.82
Element x y z (fractional)
Ce (0.250, 0.250, 0.000)
Ce (0.750, 0.750, 0.000)
Nd (0.194, 0.212, 0.406)
Nd (0.306, 0.712, 0.018)
Nd (0.694, 0.288, 0.982)
Nd (0.806, 0.788, 0.594)
Sm (0.250, 0.750, 0.500)
Sm (0.750, 0.250, 0.500)
Rh (0.104, 0.774, 0.878)
Rh (0.396, 0.274, 0.670)
Rh (0.604, 0.726, 0.330)
Rh (0.896, 0.226, 0.122)

N(E_F): 17.416 states/eV per cell
total energy: -0.461 Ry/atom
formation enthalpy at 0 K: -0.461 eV/atom

Entry 16:
Material: CeNd2Sn3Rh4
Method: DFT, GGA-PBE
State: optimized geometry

Lattice parameters (Å, degrees): 4.517 4.517 11.108 90.00 90.00 90.00
Element x y z (fractional)
Ce (0.000, 0.000, 0.000)
Nd (0.000, 0.500, 0.722)
Nd (0.500, 0.000, 0.278)
Sn (0.000, 0.500, 0.372)
Sn (0.500, 0.000, 0.628)
Sn (0.500, 0.500, 0.000)
Rh (0.000, 0.000, 0.500)
Rh (0.000, 0.500, 0.137)
Rh (0.500, 0.000, 0.863)
Rh (0.500, 0.500, 0.500)

N(E_F): 6.022 states/eV per cell
total energy: -0.473 Ry/atom
formation enthalpy at 0 K: -0.741 eV/atom

Entry 17:
Material: CeNdTlRh
Method: DFT, GGA-PBE
State: optimized geometry

Lattice parameters (Å, degrees): 5.256 5.256 5.256 60.00 60.00 60.00
Element x y z (fractional)
Ce (0.000, 0.000, 0.000)
Nd (0.500, 0.500, 0.500)
Tl (0.750, 0.750, 0.750)
Rh (0.250, 0.250, 0.250)

N(E_F): 8.201 states/eV per cell
total energy: -0.399 Ry/atom
formation enthalpy at 0 K: -0.321 eV/atom

Entry 18:
Material: CeNdZnRh
Method: DFT, GGA-PBE
State: optimized geometry

Lattice parameters (Å, degrees): 5.067 5.067 5.067 60.00 60.00 60.00
Element x y z (fractional)
Ce (0.000, 0.000, 0.000)
Nd (0.500, 0.500, 0.500)
Zn (0.750, 0.750, 0.750)
Rh (0.250, 0.250, 0.250)

N(E_F): 6.874 states/eV per cell
total energy: -0.386 Ry/atom
formation enthalpy at 0 K: -0.418 eV/atom

Entry 19:
Material: CeNdRu
Method: DFT, GGA-PBE
State: optimized geometry

Lattice parameters (Å, degrees): 6.685 7.091 7.745 90.00 119.34 90.00
Element x y z (fractional)
Ce (0.238, 0.176, 0.408)
Ce (0.238, 0.324, 0.908)
Ce (0.762, 0.676, 0.092)
Ce (0.762, 0.824, 0.592)
Nd (0.270, 0.663, 0.566)
Nd (0.270, 0.837, 0.066)
Nd (0.730, 0.163, 0.934)
Nd (0.730, 0.337, 0.434)
Ru (0.199, 0.048, 0.693)
Ru (0.199, 0.452, 0.193)
Ru (0.801, 0.548, 0.807)
Ru (0.801, 0.952, 0.307)

N(E_F): 14.264 states/eV per cell
total energy: -0.507 Ry/atom
formation enthalpy at 0 K: -0.244 eV/atom

Entry 20:
Material: CeNd2Ru2
Method: DFT, GGA-PBE
State: optimized geometry

Lattice parameters (Å, degrees): 6.843 6.843 11.673 121.65 121.65 33.16
Element x y z (fractional)
Ce (0.135, 0.135, 0.349)
Ce (0.865, 0.865, 0.651)
Nd (0.153, 0.153, 0.684)
Nd (0.405, 0.405, 0.070)
Nd (0.595, 0.595, 0.930)
Nd (0.847, 0.847, 0.316)
Ru (0.120, 0.120, 0.137)
Ru (0.428, 0.428, 0.559)
Ru (0.572, 0.572, 0.441)
Ru (0.880, 0.880, 0.863)

N(E_F): 10.040 states/eV per cell
total energy: -0.519 Ry/atom
formation enthalpy at 0 K: -0.262 eV/atom